CrSeN2F | GGA-PBEsol | relaxed

Cell and atoms, written as POSCAR:
```
CrSeN2F
1.0
-2.490 -1.707 2.555
0.551 -3.483 -1.791
3.027 -0.773 2.434
Cr N Se F
1 2 1 1
Direct
0.500 0.500 0.500 Cr
0.000 0.500 0.000 N
0.500 0.000 0.000 N
0.000 0.000 0.500 Se
0.000 0.000 0.000 F
```

Computed properties:
Energy relative to the lowest polymorph listed for this composition ... 0.900 eV/atom
DFT total energy ... -4.798 eV/atom
Total magnetization ... 1.5 μB/cell
Uncorrected formation energy ... 1816 meV/atom

***

Na2BiSbH | GGA-PBEsol | relaxed

Cell and atoms, written as POSCAR:
```
Na2BiSbH
1.0
4.734 0.000 0.000
0.000 4.734 0.000
0.000 0.000 4.849
Sb Na Bi H
1 2 1 1
Direct
0.500 0.500 0.500 Sb
0.000 0.500 0.000 Na
0.500 0.000 0.000 Na
0.000 0.000 0.500 Bi
0.000 0.000 0.000 H
```

Computed properties:
DFT total energy ... -3.149 eV/atom
Total magnetization ... 0.0 μB/cell

***

ZrMn3 | GGA-PBEsol | relaxed

Cell and atoms, written as POSCAR:
```
ZrMn3
1.0
-0.672 2.446 0.748
-1.171 1.633 -1.719
-8.385 -1.548 2.208
Mn Zr
3 1
Direct
0.738 0.738 0.786 Mn
0.000 0.000 0.000 Mn
0.262 0.262 0.214 Mn
0.500 0.500 0.500 Zr
```

Computed properties:
DFT total energy ... -9.131 eV/atom
Energy of formation ... 0.46 eV/atom
Total magnetization ... 1.8 μB/cell

***

Si2TcMo | GGA-PBEsol | relaxed

Cell and atoms, written as POSCAR:
```
Si2TcMo
1.0
3.112 0.000 0.000
0.000 3.112 0.000
0.000 0.000 5.516
Mo Si Tc
1 2 1
Direct
0.500 0.500 0.780 Mo
0.000 0.000 0.002 Si
0.500 0.500 0.254 Si
0.000 0.000 0.465 Tc
```

Computed properties:
Energy relative to the lowest polymorph listed for this composition ... 0.000 eV/atom
DFT total energy ... -9.148 eV/atom
Total magnetization ... 0.0 μB/cell
Uncorrected formation energy ... -516 meV/atom

***

CsRbS2 | GGA-PBEsol | relaxed

Cell and atoms, written as POSCAR:
```
CsRbS2
1.0
-0.256 6.225 0.104
-4.872 2.989 -4.280
-4.454 2.855 4.796
Cs S Rb
2 4 2
Direct
0.000 0.000 0.000 Cs
0.750 0.500 0.500 Cs
0.613 0.012 0.512 S
0.137 0.988 0.488 S
0.375 0.488 0.012 S
0.875 0.512 0.988 S
0.500 0.000 0.000 Rb
0.250 0.500 0.500 Rb
```

Computed properties:
DFT total energy ... -3.071 eV/atom
Total magnetization ... 0.7 μB/cell
Uncorrected formation energy ... -387 meV/atom

***

LaOsW2 | GGA-PBEsol | relaxed

Cell and atoms, written as POSCAR:
```
LaOsW2
1.0
-2.203 1.210 1.363
-0.085 -2.204 1.819
5.679 4.245 5.411
La Os W
1 1 2
Direct
0.500 0.500 0.000 La
0.500 0.500 0.500 Os
0.000 0.000 0.702 W
0.000 0.000 0.298 W
```

Computed properties:
Energy relative to the lowest polymorph listed for this composition ... 0.000 eV/atom
DFT total energy ... -10.786 eV/atom
Energy of formation ... 0.51 eV/atom
Total magnetization ... 0.0 μB/cell

***

LiTbP4O12 | GGA-PBEsol | relaxed

Cell and atoms, written as POSCAR:
```
LiTbP4O12
1.0
7.016 0.000 0.000
3.508 8.127 0.003
3.508 2.476 7.748
Li Tb P O
2 2 8 24
Direct
0.707 0.250 0.750 Li
0.293 0.750 0.250 Li
0.207 0.250 0.750 Tb
0.793 0.750 0.250 Tb
0.585 0.842 0.885 P
0.998 0.903 0.805 P
0.707 0.597 0.695 P
0.002 0.097 0.195 P
0.293 0.403 0.305 P
0.415 0.158 0.115 P
0.312 0.658 0.615 P
0.688 0.342 0.385 P
0.830 0.458 0.316 O
0.563 0.798 0.074 O
0.434 0.702 0.426 O
0.437 0.202 0.926 O
0.566 0.298 0.574 O
0.180 0.842 0.648 O
0.670 0.658 0.852 O
0.820 0.158 0.352 O
0.330 0.342 0.148 O
0.783 0.923 0.766 O
0.850 0.415 0.724 O
0.604 0.042 0.184 O
0.170 0.542 0.684 O
0.396 0.958 0.816 O
0.150 0.585 0.276 O
0.012 0.915 0.224 O
0.988 0.085 0.776 O
0.217 0.077 0.234 O
0.241 0.270 0.476 O
0.987 0.230 0.024 O
0.759 0.730 0.524 O
0.013 0.770 0.976 O
0.529 0.423 0.266 O
0.471 0.577 0.734 O
```

Computed properties:
DFT total energy ... -7.665 eV/atom
Total magnetization ... 0.0 μB/cell
Uncorrected formation energy ... -2491 meV/atom

***

BSeS3 | GGA-PBEsol | relaxed

Cell and atoms, written as POSCAR:
```
BSeS3
1.0
-1.468 -3.954 2.096
4.467 -1.162 0.937
-0.270 2.280 4.112
S B Se
3 1 1
Direct
0.000 0.500 0.000 S
0.000 0.000 0.500 S
0.500 0.000 0.000 S
0.500 0.500 0.500 B
0.000 0.000 0.000 Se
```

Computed properties:
Energy relative to the lowest polymorph listed for this composition ... 0.822 eV/atom
DFT total energy ... -3.322 eV/atom
Total magnetization ... 0.0 μB/cell
Uncorrected formation energy ... 1482 meV/atom

***

Please write out number 7 again, unchanged.
LiTbP4O12 | GGA-PBEsol | relaxed

Cell and atoms, written as POSCAR:
```
LiTbP4O12
1.0
7.016 0.000 0.000
3.508 8.127 0.003
3.508 2.476 7.748
Li Tb P O
2 2 8 24
Direct
0.707 0.250 0.750 Li
0.293 0.750 0.250 Li
0.207 0.250 0.750 Tb
0.793 0.750 0.250 Tb
0.585 0.842 0.885 P
0.998 0.903 0.805 P
0.707 0.597 0.695 P
0.002 0.097 0.195 P
0.293 0.403 0.305 P
0.415 0.158 0.115 P
0.312 0.658 0.615 P
0.688 0.342 0.385 P
0.830 0.458 0.316 O
0.563 0.798 0.074 O
0.434 0.702 0.426 O
0.437 0.202 0.926 O
0.566 0.298 0.574 O
0.180 0.842 0.648 O
0.670 0.658 0.852 O
0.820 0.158 0.352 O
0.330 0.342 0.148 O
0.783 0.923 0.766 O
0.850 0.415 0.724 O
0.604 0.042 0.184 O
0.170 0.542 0.684 O
0.396 0.958 0.816 O
0.150 0.585 0.276 O
0.012 0.915 0.224 O
0.988 0.085 0.776 O
0.217 0.077 0.234 O
0.241 0.270 0.476 O
0.987 0.230 0.024 O
0.759 0.730 0.524 O
0.013 0.770 0.976 O
0.529 0.423 0.266 O
0.471 0.577 0.734 O
```

Computed properties:
DFT total energy ... -7.665 eV/atom
Total magnetization ... 0.0 μB/cell
Uncorrected formation energy ... -2491 meV/atom